BaCuP2Se8: relaxed, PBE.

Cell and atoms, written as extended XYZ:
```
12
Lattice="6.0359 0.0000 0.0000 -3.0179 5.2272 0.0000 0.0000 0.0000 9.4050" Properties=species:S:1:pos:R:3 pbc="T T T"
Ba 0.0000 0.0000 0.0000
Cu 0.0000 0.0000 4.7025
P 0.0000 3.4848 7.0181
P 3.0180 1.7424 2.3869
Se -1.8780 3.6050 3.0763
Se 0.8349 1.7984 3.0763
Se 0.0000 3.4848 9.2151
Se 1.9749 0.1761 6.3287
Se 1.0431 5.0511 3.0763
Se 3.0180 1.7424 0.1899
Se 2.1831 3.4289 6.3287
Se 4.8959 1.6222 6.3287
```

Properties
DOS at the Fermi energy (states/eV per cell): 9.10
Formation energy without anion corrections (eV per atom): -0.33

***

BiAsHBr2: relaxed, PBE.

Cell and atoms, written as extended XYZ:
```
5
Lattice="5.8039 0.0000 0.0000 0.0000 5.8039 0.0000 0.0000 0.0000 5.8034" Properties=species:S:1:pos:R:3 pbc="T T T"
Bi 0.0000 0.0000 0.0000
As 0.0000 0.0000 2.9017
H 2.9019 2.9019 2.9017
Br 0.0000 2.9019 0.0000
Br 2.9019 0.0000 0.0000
```

Properties
Offset from the most stable computed form (meV per atom): 157
DOS at the Fermi energy (states/eV per cell): 0.93

***

- Which value of DOS at the Fermi energy does entry 2 give?
  0.93 states/eV per cell